GGA-PBEsol CdCoSe2, optimized geometry; formation energy from raw total energies = 0.00 eV/atom; space group = P4mm, No. 99; total magnetization = 0.00 μB/cell
1.0
2.924 0.000 0.000
0.000 2.924 0.000
0.000 0.000 8.381
Cd Co Se
1 1 2
direct
0.000 0.000 0.540
0.500 0.500 0.772
0.000 0.000 0.912
0.500 0.500 0.276


GGA-PBEsol CdCoSe2, optimized geometry; formation energy from raw total energies = 0.10 eV/atom; space group = Cmmm, No. 65; total magnetization = 0.00 μB/cell
1.0
-0.734 -0.368 2.790
2.666 -0.270 1.131
0.358 8.776 1.252
Cd Co Se
1 1 2
direct
0.500 0.500 0.500
0.500 0.500 0.000
0.000 0.000 0.171
0.000 0.000 0.829


GGA-PBEsol Cd3CoSi, optimized geometry; formation energy from raw total energies = 1.10 eV/atom; space group = Pm-3m, No. 221; total magnetization = 1.97 μB/cell
1.0
-3.020 3.385 -1.959
0.260 -2.296 -4.367
-3.902 -2.772 1.225
Si Co Cd
1 1 3
direct
0.000 0.000 0.000
0.500 0.500 0.500
0.000 0.500 0.000
0.000 0.000 0.500
0.500 0.000 0.000


GGA-PBEsol Cd2CoSi, optimized geometry; formation energy from raw total energies = 0.31 eV/atom; space group = I-4m2, No. 119; total magnetization = 0.00 μB/cell
1.0
3.963 0.000 0.000
0.000 3.963 0.000
-1.981 -1.981 3.946
Cd Co Si
2 1 1
direct
0.000 0.000 0.000
0.750 0.250 0.500
0.500 0.500 0.000
0.250 0.750 0.500


What did the fourth record say?
GGA-PBEsol Cd2CoSi, optimized geometry; formation energy from raw total energies = 0.31 eV/atom; space group = I-4m2, No. 119; total magnetization = 0.00 μB/cell
1.0
3.963 0.000 0.000
0.000 3.963 0.000
-1.981 -1.981 3.946
Cd Co Si
2 1 1
direct
0.000 0.000 0.000
0.750 0.250 0.500
0.500 0.500 0.000
0.250 0.750 0.500